Entry 1:
SCAN RbPS2Cl, single point on PBEsol structure; space group = No. 123; calculated volume = 54.4 A^3/atom
1.0
-4.747 0.353 -4.312
4.305 -0.257 -4.760
-0.446 -6.576 -0.048
S P Cl Rb
2 1 1 1
Direct
0.000 0.500 0.000
0.500 0.000 0.000
0.000 0.000 0.500
0.500 0.500 0.500
0.000 0.000 0.000



Entry 2:
SCAN RbSbP2Cl, single point on PBEsol structure; space group = No. 123; calculated volume = 29.0 A^3/atom
1.0
-0.352 -4.217 -2.706
1.509 -2.676 3.974
-5.468 -0.611 1.664
Cl Sb Rb P
1 1 1 2
Direct
0.000 0.000 0.500
0.000 0.000 0.000
0.500 0.500 0.500
0.000 0.500 0.000
0.500 0.000 0.000



Entry 3:
SCAN RbSnP2Cl, single point on PBEsol structure; space group = No. 123; calculated volume = 28.9 A^3/atom
1.0
-4.682 0.080 1.833
-0.595 -4.819 -1.310
1.973 -1.633 5.111
Rb Cl P Sn
1 1 2 1
Direct
0.500 0.500 0.500
0.000 0.000 0.500
0.000 0.500 0.000
0.500 0.000 0.000
0.000 0.000 0.000



Entry 4:
SCAN RbSnPCl2, single point on PBEsol structure; space group = No. 123; calculated volume = 30.2 A^3/atom
1.0
-1.326 -2.245 4.378
-4.380 -2.133 -2.420
2.899 -4.393 -1.374
Cl Rb P Sn
2 1 1 1
Direct
0.000 0.000 0.500
0.000 0.500 0.000
0.500 0.500 0.500
0.500 0.000 0.000
0.000 0.000 0.000



Entry 5:
SCAN RbPWCl2, single point on PBEsol structure; space group = No. 123; calculated volume = 22.9 A^3/atom
1.0
-4.577 0.701 -0.653
0.306 -2.149 -4.448
-0.966 -4.396 2.057
Rb W P Cl
1 1 1 2
Direct
0.500 0.500 0.500
0.000 0.000 0.000
0.500 0.000 0.000
0.000 0.000 0.500
0.000 0.500 0.000



Entry 6:
SCAN RePCl, single point on PBEsol structure; space group = No. 107; calculated volume = 18.9 A^3/atom
1.0
3.096 0.000 0.000
0.000 3.094 0.000
-1.548 -1.547 5.911
Re Cl P
1 1 1
Direct
0.795 0.795 0.590
0.987 0.987 0.973
0.218 0.218 0.437



Quick rundown of formation energy (no corrections), same order as above: 119.97, 2.76, -1.79, -66.79, -48.87, 11.65 kJ/mol of atoms